Entry from Alexandria via LeMat-Bulk: La2MoOs after structural relaxation (PBE).

```
4
Lattice="4.084 0.000 0.000 0.000 3.222 0.005 0.000 2.314 7.942" Properties=species:S:1:pos:R:3 pbc="T T T"
La 0.000 5.246 7.300
La 2.042 1.659 2.591
Mo 0.000 2.932 4.554
Os 2.042 4.004 5.422
```

## Properties
SG: No. 6

=====

Entry from Alexandria via LeMat-Bulk: LaMoOs2 after structural relaxation (PBE).

```
4
Lattice="-0.418 1.144 2.863 -4.705 -0.649 -0.427 0.443 -4.421 1.832" Properties=species:S:1:pos:R:3 pbc="T T T"
La 0.013 -1.638 2.347
Mo -2.131 -2.535 0.702
Os 0.000 0.000 0.000
Os -2.561 0.248 1.218
```

## Properties
SG: No. 47

=====

Entry from Alexandria via LeMat-Bulk: LaMoOs2 after structural relaxation (PBE).

```
4
Lattice="2.840 0.000 0.000 0.000 2.840 0.000 0.000 0.000 9.074" Properties=species:S:1:pos:R:3 pbc="T T T"
La 0.000 0.000 4.425
Mo 1.420 1.420 7.160
Os 0.000 0.000 0.185
Os 1.420 1.420 1.841
```

## Properties
SG: No. 99

=====

Entry from Alexandria via LeMat-Bulk: La2MoOs after structural relaxation (PBE).

```
4
Lattice="-2.109 -1.937 3.749 2.678 0.332 1.679 -1.184 5.280 2.062" Properties=species:S:1:pos:R:3 pbc="T T T"
La 1.497 5.594 3.733
La 0.745 2.825 1.879
Mo -0.681 0.435 2.810
Os 0.066 3.241 4.680
```

## Properties
SG: No. 10

=====

Entry from Alexandria via LeMat-Bulk: La2MoOs after structural relaxation (PBE).

```
4
Lattice="3.248 0.000 0.000 0.000 3.248 0.000 0.000 0.000 8.806" Properties=species:S:1:pos:R:3 pbc="T T T"
La 0.000 0.000 8.573
La 0.000 0.000 4.636
Mo 1.624 1.624 2.201
Os 1.624 1.624 6.604
```

## Properties
SG: No. 123

=====

Entry from Alexandria via LeMat-Bulk: LaMoOs2 after structural relaxation (PBE).

```
4
Lattice="10.177 -0.006 -0.003 9.775 2.831 -0.003 9.775 1.384 2.469" Properties=species:S:1:pos:R:3 pbc="T T T"
La 14.914 2.112 1.235
Mo 21.926 3.104 1.816
Os 29.680 4.202 2.459
Os 7.799 1.104 0.646
```

## Properties
SG: No. 160

=====

| no. | energy above the lowest structure with this stoichiometry (meV/atom) | electronic total energy (eV per cell) | N(E_F) (states/eV/f.u.) |
| --- | --- | --- | --- |
| 1 | 199 | -30.833 | 5.48 |
| 2 | 556 | -35.276 | 5.65 |
| 3 | 236 | -36.557 | 3.20 |
| 4 | 519 | -29.552 | 5.70 |
| 5 | 526 | -29.525 | 3.88 |
| 6 | 469 | -35.624 | 3.91 |